[1]
{"formula": "UCuNiSb", "functional": "PBE", "state": "relaxed", "lattice": [[4.638, 0.000, 0.000], [2.319, 4.017, 0.000], [2.319, 1.339, 3.787]], "species": ["Sb", "U", "Cu", "Ni"], "fractional_positions": [[0.000, 0.000, 0.000], [0.500, 0.500, 0.500], [0.250, 0.250, 0.250], [0.750, 0.750, 0.750]], "spacegroup": "F-43m, No. 216"}

---

[2]
{"formula": "HfCu3Ni", "functional": "PBE", "state": "relaxed", "lattice": [[-4.300, 1.424, 0.545], [-0.705, -0.411, -4.489], [0.086, -8.219, 3.058]], "species": ["Hf", "Hf", "Cu", "Cu", "Cu", "Cu", "Cu", "Cu", "Ni", "Ni"], "fractional_positions": [[0.563, 0.063, 0.126], [0.937, 0.437, 0.874], [0.620, 0.873, 0.746], [0.127, 0.874, 0.254], [0.127, 0.380, 0.254], [0.126, 0.873, 0.746], [0.321, 0.321, 0.641], [0.679, 0.679, 0.359], [0.000, 0.000, 0.000], [0.250, 0.750, 0.500]], "e_form_kj_per_mol_fu": 152.6, "relative_energy_mev_per_atom": 445.3, "spacegroup": "I-4m2, No. 119"}

---

For each record above, in turn, the calculated size of the total moment values are 1.75; 0.00 μB/f.u..
For each record above, in turn, the calculated E_tot values are -6.415; -5.288 eV per atom.
For each record above, in turn, the calculated Fermi-level density of states values are 4.83; 6.99 states/eV/cell.